Entry 1:
The following is a DFT calculation (GGA-PBE) of La2MnCo after structural relaxation.

a b c (Å): 3.579 3.594 8.076
angles (deg): 64.42 90.00 90.00
Site moments in Bohr magnetons follow the coordinates.
Fractional positions:
La 0.000 0.017 0.976  0.14
La 0.000 0.483 0.524  0.14
Mn 0.500 0.250 0.250  -3.61
Co 0.500 0.750 0.750  -0.07

Computed properties:
Energy above the lowest structure with this stoichiometry ... 0.488 eV/f.u.

Entry 2:
The following is a DFT calculation (GGA-PBE) of La2MnNbCo after structural relaxation.

a b c (Å): 5.627 5.627 4.421
angles (deg): 90.00 90.00 90.00
Site moments in Bohr magnetons follow the coordinates.
Fractional positions:
Nb 0.000 0.000 0.000  0.11
Mn 0.500 0.500 0.500  4.21
La 0.000 0.500 0.000  -0.04
Co 0.000 0.000 0.500  -0.40
La 0.500 0.000 0.000  -0.04

Computed properties:
Energy ... -6.398 eV/atom